Entry 1:
VASP calculation (PBE) on a relaxed Co14IrPt crystal.

Cell lengths 5.091, 5.091, 7.150 Å; angles 90.00, 90.00, 90.00 degrees
Atoms (fractional coordinates):
1 Co 0.000 0.000 0.000
2 Co 0.000 0.500 0.000
3 Co 0.000 0.500 0.500
4 Co 0.249 0.249 0.239
5 Co 0.249 0.249 0.761
6 Co 0.249 0.751 0.239
7 Co 0.249 0.751 0.761
8 Co 0.500 0.000 0.000
9 Co 0.500 0.000 0.500
10 Co 0.500 0.500 0.000
11 Co 0.751 0.249 0.239
12 Co 0.751 0.249 0.761
13 Co 0.751 0.751 0.239
14 Co 0.751 0.751 0.761
15 Ir 0.000 0.000 0.500
16 Pt 0.500 0.500 0.500

## Properties
Energy of formation from the pure elements: 11 meV per atom


Entry 2:
VASP calculation (PBE) on a relaxed TlCoAu2 crystal.

Cell lengths 3.121, 3.121, 7.438 Å; angles 90.00, 90.00, 90.00 degrees
Atoms (fractional coordinates):
1 Tl 0.000 0.000 0.000
2 Co 0.500 0.500 0.750
3 Au 0.000 0.000 0.552
4 Au 0.500 0.500 0.297

## Properties
Energy of formation from the pure elements: 317 meV per atom
Relative energy among the computed polymorphs: 0.070 eV per atom


Q: Which of these has the lowest energy of formation from the pure elements?
A: Co14IrPt


Q: energy of formation from the pure elements of number 1 (Co14IrPt)?
A: 11 meV per atom


Q: What is the energy of formation from the pure elements in the second record?
A: 317 meV per atom